Entry 1:
DFT (PBE) results for a relaxed LaGe3Au2 crystal.

Cell lengths 13.5588, 13.5588, 13.5588 Å; angles 161.16, 161.16, 26.77 degrees
Atoms (fractional coordinates):
La  0.1501  0.1501  0.0000
La  0.8499  0.8499  0.0000
Ge  0.0477  0.5477  0.5000
Ge  0.3046  0.3046  0.0000
Ge  0.4523  0.9523  0.5000
Ge  0.5477  0.0477  0.5000
Ge  0.6954  0.6954  0.0000
Ge  0.9523  0.4523  0.5000
Au  0.2500  0.7500  0.5000
Au  0.4003  0.4003  0.0000
Au  0.5997  0.5997  0.0000
Au  0.7500  0.2500  0.5000

Properties
Symmetry: No. 139
DFT formation energy (meV/atom): -449
Total moment (μB/atom): 0.000
Mass density (g/cm³): 9.59


Entry 2:
DFT (PBE) results for a relaxed LaGeAu4 crystal.

Cell lengths 8.5442, 8.5442, 7.0077 Å; angles 90.00, 90.00, 150.14 degrees
Atoms (fractional coordinates):
La  0.1174  0.8826  0.7500
La  0.8826  0.1174  0.2500
Ge  0.2362  0.7638  0.2500
Ge  0.7638  0.2362  0.7500
Au  0.0672  0.9328  0.2500
Au  0.3274  0.6726  0.5515
Au  0.3274  0.6726  0.9485
Au  0.5000  0.5000  0.0000
Au  0.5000  0.5000  0.5000
Au  0.6726  0.3274  0.0515
Au  0.6726  0.3274  0.4485
Au  0.9328  0.0672  0.7500

Properties
Symmetry: No. 63
DFT formation energy (meV/atom): -442
Total moment (μB/atom): 0.000
Mass density (g/cm³): 13.03
Energy above the lowest structure with this stoichiometry (meV/atom): 0


Entry 3:
DFT (PBE) results for a relaxed LaGe3Au crystal.

Cell lengths 5.9617, 6.1150, 6.0574 Å; angles 90.00, 99.49, 90.00 degrees
Atoms (fractional coordinates):
La  0.1892  0.2500  0.1988
La  0.8108  0.7500  0.8012
Ge  0.0697  0.7500  0.3368
Ge  0.3051  0.0141  0.6894
Ge  0.3051  0.4859  0.6894
Ge  0.6949  0.5141  0.3106
Ge  0.6949  0.9859  0.3106
Ge  0.9303  0.2500  0.6632
Au  0.3475  0.7500  0.0436
Au  0.6525  0.2500  0.9564

Properties
Symmetry: No. 11
DFT formation energy (meV/atom): -439
Total moment (μB/atom): 0.000
Mass density (g/cm³): 8.44


Entry 4:
DFT (PBE) results for a relaxed LaGe2Au4 crystal.

Cell lengths 8.1825, 8.1825, 4.2810 Å; angles 90.00, 90.00, 90.00 degrees
Atoms (fractional coordinates):
La  0.0000  0.0000  0.0000
La  0.5000  0.5000  0.5000
Ge  0.2219  0.2219  0.5000
Ge  0.2781  0.7219  0.0000
Ge  0.7219  0.2781  0.0000
Ge  0.7781  0.7781  0.5000
Au  0.0766  0.6724  0.5000
Au  0.1724  0.4234  0.0000
Au  0.3276  0.9234  0.5000
Au  0.4234  0.1724  0.0000
Au  0.5766  0.8276  0.0000
Au  0.6724  0.0766  0.5000
Au  0.8276  0.5766  0.0000
Au  0.9234  0.3276  0.5000

Properties
Symmetry: No. 136
DFT formation energy (meV/atom): -398
Total moment (μB/atom): 0.000
Mass density (g/cm³): 12.42
Energy above the lowest structure with this stoichiometry (meV/atom): 42